# TaFeRuRh GGA-PBE optimized geometry
data_TaFeRuRh
_chemical_formula_sum 'Ta1 Fe1 Ru1 Rh1'
_cell_length_a 4.373
_cell_length_b 4.373
_cell_length_c 4.373
_cell_angle_alpha 60.00
_cell_angle_beta 60.00
_cell_angle_gamma 60.00
_symmetry_space_group_name_H-M 'P 1'
_symmetry_Int_Tables_number 1
_symmetry_space_group_name_Hall 'P 1'
loop_
_atom_site_label
_atom_site_type_symbol
_atom_site_fract_x
_atom_site_fract_y
_atom_site_fract_z
Fe1 Fe 0.500 0.500 0.500
Ru1 Ru 0.250 0.250 0.250
Ta1 Ta 0.000 0.000 0.000
Rh1 Rh 0.750 0.750 0.750
# DFT total energy: -37.9 eV for the cell shown
# Magnetic moment: 3.96 μB/f.u.
# Symmetry: F-43m (216)
# ΔH_f (0 K): -0.23 eV per atom


# FeTe2RuRh GGA-PBE optimized geometry
data_FeTe2RuRh
_chemical_formula_sum 'Fe1 Te2 Ru1 Rh1'
_cell_length_a 4.857
_cell_length_b 4.332
_cell_length_c 4.857
_cell_angle_alpha 90.00
_cell_angle_beta 90.00
_cell_angle_gamma 90.00
_symmetry_space_group_name_H-M 'P 1'
_symmetry_Int_Tables_number 1
_symmetry_space_group_name_Hall 'P 1'
loop_
_atom_site_label
_atom_site_type_symbol
_atom_site_fract_x
_atom_site_fract_y
_atom_site_fract_z
Fe1 Fe 0.000 0.000 0.000
Ru1 Ru 0.000 0.500 0.000
Te1 Te 0.500 0.000 0.000
Rh1 Rh 0.500 0.500 0.500
Te2 Te 0.000 0.000 0.500
# DFT total energy: -26.2 eV for the cell shown
# Magnetic moment: 0.00 μB/f.u.
# Energy relative to the elements, uncorrected: 1.04 eV per atom
# Symmetry: P4/mmm (123)


# V5Fe2RuRh2 GGA-PBE optimized geometry
data_V5Fe2RuRh2
_chemical_formula_sum 'V10 Fe4 Ru2 Rh4'
_cell_length_a 2.939
_cell_length_b 9.586
_cell_length_c 9.586
_cell_angle_alpha 90.00
_cell_angle_beta 90.00
_cell_angle_gamma 90.00
_symmetry_space_group_name_H-M 'P 1'
_symmetry_Int_Tables_number 1
_symmetry_space_group_name_Hall 'P 1'
loop_
_atom_site_label
_atom_site_type_symbol
_atom_site_fract_x
_atom_site_fract_y
_atom_site_fract_z
Ru1 Ru 0.000 0.000 0.000
Rh1 Rh 0.000 0.830 0.670
V1 V 0.500 0.426 0.301
V2 V 0.500 0.574 0.699
V3 V 0.500 0.926 0.199
Fe1 Fe 0.000 0.629 0.871
Rh2 Rh 0.000 0.670 0.170
Rh3 Rh 0.000 0.330 0.830
V4 V 0.500 0.699 0.426
V5 V 0.500 0.074 0.801
Fe2 Fe 0.000 0.129 0.629
V6 V 0.500 0.301 0.574
V7 V 0.500 0.000 0.500
Ru2 Ru 0.000 0.500 0.500
Fe3 Fe 0.000 0.871 0.371
V8 V 0.500 0.801 0.926
Fe4 Fe 0.000 0.371 0.129
Rh4 Rh 0.000 0.170 0.330
V9 V 0.500 0.500 0.000
V10 V 0.500 0.199 0.074
# DFT total energy: -173.1 eV for the cell shown
# Magnetic moment: 0.00 μB/f.u.
# Symmetry: P4/mbm (127)
# ΔH_f (0 K): -0.01 eV per atom


# V2FeRu2Rh GGA-PBE optimized geometry
data_V2FeRu2Rh
_chemical_formula_sum 'V4 Fe2 Ru4 Rh2'
_cell_length_a 5.144
_cell_length_b 5.098
_cell_length_c 7.275
_cell_angle_alpha 110.51
_cell_angle_beta 110.71
_cell_angle_gamma 90.00
_symmetry_space_group_name_H-M 'P 1'
_symmetry_Int_Tables_number 1
_symmetry_space_group_name_Hall 'P 1'
loop_
_atom_site_label
_atom_site_type_symbol
_atom_site_fract_x
_atom_site_fract_y
_atom_site_fract_z
V1 V 0.441 0.636 0.271
V2 V 0.559 0.364 0.729
Rh1 Rh 0.000 0.250 0.000
Ru1 Ru 0.627 0.824 0.649
Fe1 Fe 0.500 0.250 0.000
V3 V 0.830 0.136 0.271
Ru2 Ru 0.978 0.676 0.351
Rh2 Rh 0.000 0.750 0.000
V4 V 0.170 0.864 0.729
Ru3 Ru 0.373 0.176 0.351
Fe2 Fe 0.500 0.750 0.000
Ru4 Ru 0.022 0.324 0.649
# DFT total energy: -104.2 eV for the cell shown
# Magnetic moment: 1.18 μB/f.u.
# Symmetry: Ibam (72)
# ΔH_f (0 K): 0.08 eV per atom


# YFe2RuRh GGA-PBE optimized geometry
data_YFe2RuRh
_chemical_formula_sum 'Y1 Fe2 Ru1 Rh1'
_cell_length_a 4.523
_cell_length_b 5.100
_cell_length_c 4.523
_cell_angle_alpha 90.00
_cell_angle_beta 90.00
_cell_angle_gamma 90.00
_symmetry_space_group_name_H-M 'P 1'
_symmetry_Int_Tables_number 1
_symmetry_space_group_name_Hall 'P 1'
loop_
_atom_site_label
_atom_site_type_symbol
_atom_site_fract_x
_atom_site_fract_y
_atom_site_fract_z
Fe1 Fe 0.000 0.000 0.500
Ru1 Ru 0.000 0.000 0.000
Y1 Y 0.000 0.500 0.000
Fe2 Fe 0.500 0.000 0.000
Rh1 Rh 0.500 0.500 0.500
# DFT total energy: -35.1 eV for the cell shown
# Magnetic moment: 6.55 μB/f.u.
# Symmetry: P4/mmm (123)
# ΔH_f (0 K): 0.99 eV per atom


# ZnFeRuRh GGA-PBE optimized geometry
data_ZnFeRuRh
_chemical_formula_sum 'Zn1 Fe1 Ru1 Rh1'
_cell_length_a 4.240
_cell_length_b 4.240
_cell_length_c 4.240
_cell_angle_alpha 60.00
_cell_angle_beta 60.00
_cell_angle_gamma 60.00
_symmetry_space_group_name_H-M 'P 1'
_symmetry_Int_Tables_number 1
_symmetry_space_group_name_Hall 'P 1'
loop_
_atom_site_label
_atom_site_type_symbol
_atom_site_fract_x
_atom_site_fract_y
_atom_site_fract_z
Rh1 Rh 0.750 0.750 0.750
Fe1 Fe 0.500 0.500 0.500
Ru1 Ru 0.250 0.250 0.250
Zn1 Zn 0.000 0.000 0.000
# DFT total energy: -26.6 eV for the cell shown
# Magnetic moment: 3.35 μB/f.u.
# Symmetry: F-43m (216)
# ΔH_f (0 K): -0.06 eV per atom


# ZrFeRuRh GGA-PBE optimized geometry
data_ZrFeRuRh
_chemical_formula_sum 'Zr1 Fe1 Ru1 Rh1'
_cell_length_a 4.460
_cell_length_b 4.460
_cell_length_c 4.460
_cell_angle_alpha 60.00
_cell_angle_beta 60.00
_cell_angle_gamma 60.00
_symmetry_space_group_name_H-M 'P 1'
_symmetry_Int_Tables_number 1
_symmetry_space_group_name_Hall 'P 1'
loop_
_atom_site_label
_atom_site_type_symbol
_atom_site_fract_x
_atom_site_fract_y
_atom_site_fract_z
Fe1 Fe 0.750 0.750 0.750
Zr1 Zr 0.250 0.250 0.250
Ru1 Ru 0.000 0.000 0.000
Rh1 Rh 0.500 0.500 0.500
# DFT total energy: -34.9 eV for the cell shown
# Magnetic moment: 4.57 μB/f.u.
# Symmetry: F-43m (216)
# ΔH_f (0 K): -0.31 eV per atom


# Fe2RhS2 GGA-PBE optimized geometry
data_Fe2RhS2
_chemical_formula_sum 'Fe2 Rh1 S2'
_cell_length_a 3.650
_cell_length_b 3.650
_cell_length_c 5.530
_cell_angle_alpha 70.73
_cell_angle_beta 70.73
_cell_angle_gamma 90.00
_symmetry_space_group_name_H-M 'P 1'
_symmetry_Int_Tables_number 1
_symmetry_space_group_name_Hall 'P 1'
loop_
_atom_site_label
_atom_site_type_symbol
_atom_site_fract_x
_atom_site_fract_y
_atom_site_fract_z
S1 S 0.250 0.750 0.500
S2 S 0.750 0.250 0.500
Fe1 Fe 0.378 0.378 0.245
Rh1 Rh 0.000 0.000 0.000
Fe2 Fe 0.622 0.622 0.755
# DFT total energy: -30.9 eV for the cell shown
# Magnetic moment: 1.25 μB/f.u.
# Energy relative to the elements, uncorrected: 0.33 eV per atom
# Polymorph energy (0 for the lowest one): 0.172 eV/atom
# Symmetry: I4/mmm (139)


# Fe2RhS4 GGA-PBE optimized geometry
data_Fe2RhS4
_chemical_formula_sum 'Fe4 Rh2 S8'
_cell_length_a 6.857
_cell_length_b 6.857
_cell_length_c 6.857
_cell_angle_alpha 121.42
_cell_angle_beta 118.55
_cell_angle_gamma 90.04
_symmetry_space_group_name_H-M 'P 1'
_symmetry_Int_Tables_number 1
_symmetry_space_group_name_Hall 'P 1'
loop_
_atom_site_label
_atom_site_type_symbol
_atom_site_fract_x
_atom_site_fract_y
_atom_site_fract_z
S1 S 0.240 0.249 0.509
S2 S 0.763 0.253 0.510
S3 S 0.237 0.747 0.490
Rh1 Rh 0.500 0.500 0.000
S4 S 0.760 0.269 0.009
Fe1 Fe 0.000 0.500 0.000
S5 S 0.240 0.731 0.991
Fe2 Fe 0.620 0.870 0.750
Rh2 Rh 0.000 0.500 0.500
S6 S 0.760 0.751 0.491
Fe3 Fe 0.000 0.000 0.500
S7 S 0.757 0.747 0.010
S8 S 0.243 0.253 0.990
Fe4 Fe 0.380 0.130 0.250
# DFT total energy: -87.1 eV for the cell shown
# Magnetic moment: 0.00 μB/f.u.
# Energy relative to the elements, uncorrected: -0.40 eV per atom
# Symmetry: Imma (74)


# FeRh2S4 GGA-PBE optimized geometry
data_FeRh2S4
_chemical_formula_sum 'Fe2 Rh4 S8'
_cell_length_a 6.984
_cell_length_b 6.984
_cell_length_c 6.984
_cell_angle_alpha 60.00
_cell_angle_beta 60.00
_cell_angle_gamma 60.00
_symmetry_space_group_name_H-M 'P 1'
_symmetry_Int_Tables_number 1
_symmetry_space_group_name_Hall 'P 1'
loop_
_atom_site_label
_atom_site_type_symbol
_atom_site_fract_x
_atom_site_fract_y
_atom_site_fract_z
S1 S 0.867 0.867 0.867
Fe1 Fe 0.250 0.250 0.250
Fe2 Fe 0.000 0.000 0.000
S2 S 0.400 0.867 0.867
Rh1 Rh 0.625 0.125 0.625
S3 S 0.383 0.383 0.383
Rh2 Rh 0.125 0.625 0.625
Rh3 Rh 0.625 0.625 0.125
S4 S 0.867 0.400 0.867
S5 S 0.383 0.383 0.850
S6 S 0.867 0.867 0.400
S7 S 0.383 0.850 0.383
S8 S 0.850 0.383 0.383
Rh4 Rh 0.625 0.625 0.625
# DFT total energy: -85.1 eV for the cell shown
# Magnetic moment: 3.56 μB/f.u.
# Energy relative to the elements, uncorrected: -0.41 eV per atom
# Symmetry: Fd-3m (227)


# FeRhS4 GGA-PBE optimized geometry
data_FeRhS4
_chemical_formula_sum 'Fe2 Rh2 S8'
_cell_length_a 5.649
_cell_length_b 5.217
_cell_length_c 7.540
_cell_angle_alpha 109.96
_cell_angle_beta 111.74
_cell_angle_gamma 90.70
_symmetry_space_group_name_H-M 'P 1'
_symmetry_Int_Tables_number 1
_symmetry_space_group_name_Hall 'P 1'
loop_
_atom_site_label
_atom_site_type_symbol
_atom_site_fract_x
_atom_site_fract_y
_atom_site_fract_z
Rh1 Rh 0.320 0.570 0.139
S1 S 0.312 0.486 0.596
S2 S 0.688 0.514 0.404
Rh2 Rh 0.680 0.430 0.861
S3 S 0.621 0.840 0.105
Fe1 Fe 0.064 0.814 0.629
S4 S 0.985 0.265 0.105
S5 S 0.379 0.160 0.895
S6 S 0.216 0.891 0.404
Fe2 Fe 0.936 0.186 0.371
S7 S 0.784 0.109 0.596
S8 S 0.015 0.735 0.895
# DFT total energy: -66.8 eV for the cell shown
# Magnetic moment: 1.43 μB/f.u.
# Energy relative to the elements, uncorrected: -0.18 eV per atom
# Symmetry: C2/c (15)


# Fe3Rh3S8 GGA-PBE optimized geometry
data_Fe3Rh3S8
_chemical_formula_sum 'Fe3 Rh3 S8'
_cell_length_a 6.833
_cell_length_b 6.833
_cell_length_c 6.833
_cell_angle_alpha 61.41
_cell_angle_beta 61.41
_cell_angle_gamma 61.41
_symmetry_space_group_name_H-M 'P 1'
_symmetry_Int_Tables_number 1
_symmetry_space_group_name_Hall 'P 1'
loop_
_atom_site_label
_atom_site_type_symbol
_atom_site_fract_x
_atom_site_fract_y
_atom_site_fract_z
S1 S 0.243 0.767 0.243
Fe1 Fe 0.000 0.000 0.000
Fe2 Fe 0.621 0.621 0.621
Rh1 Rh 0.000 0.000 0.500
S2 S 0.757 0.233 0.757
Rh2 Rh 0.000 0.500 0.000
S3 S 0.756 0.756 0.756
S4 S 0.244 0.244 0.244
S5 S 0.767 0.243 0.243
S6 S 0.757 0.757 0.233
S7 S 0.233 0.757 0.757
S8 S 0.243 0.243 0.767
Fe3 Fe 0.379 0.379 0.379
Rh3 Rh 0.500 0.000 0.000
# DFT total energy: -86.1 eV for the cell shown
# Magnetic moment: 2.62 μB/f.u.
# Energy relative to the elements, uncorrected: -0.40 eV per atom
# Symmetry: R-3m (166)